No. 1
This record from the Alexandria database describes a geometry-optimized GaSn2HgIr structure. The functional is PBE.

Lattice parameters (Å, degrees): 5.213 5.213 4.827 90.00 90.00 90.00
Space group P4/mmm (No. 123)
Unique sites:
Ga 0.000 0.000 0.000 [1 per cell]
Sn 0.000 0.500 0.500 [2 per cell]
Hg 0.500 0.500 0.000 [1 per cell]
Ir 0.000 0.000 0.500 [1 per cell]

Its density of states at the Fermi level is 4.2 states/eV/f.u. The crystal system is tetragonal. For the total energy, the calculation gives -4.048 eV per atom.

=====

No. 2
This record from the Alexandria database describes a geometry-optimized TlGaAgSe structure. The functional is PBE.

Lattice parameters (Å, degrees): 3.7877 3.7877 8.5273 90.00 90.00 120.00
Space group P3m1 (No. 156)
Unique sites:
Tl 0.0000 0.0000 0.0000 [1 per cell]
Ga 0.0000 0.0000 0.3213 [1 per cell]
Ag 0.3333 0.6667 0.7799 [1 per cell]
Se 0.3333 0.6667 0.4707 [1 per cell]

Its density of states at the Fermi level is 0.5 states/eV/f.u. The crystal system is trigonal. Its energy above the most stable polymorph in this dataset is 0.11 eV/f.u. The calculation puts the uncorrected formation energy at -0.11 eV/atom.

=====

No. 3
This record from the Alexandria database describes a geometry-optimized PmCdTe2 structure. The functional is PBE.

Lattice parameters (Å, degrees): 4.5091 4.5091 27.7987 90.00 90.00 120.00
Space group R-3m (No. 166, hexagonal axes)
Unique sites:
Pm 0.0000 0.0000 0.0000 [3 per cell]
Cd 0.0000 0.0000 0.5000 [3 per cell]
Te 0.0000 0.0000 0.3972 [6 per cell]

Its density of states at the Fermi level is 2.7 states/eV/f.u. The crystal system is trigonal. Its energy above the most stable polymorph in this dataset is 0.06 eV/f.u. The calculation puts the uncorrected formation energy at -0.75 eV/atom.

=====

No. 4
This record from the Alexandria database describes a geometry-optimized K2ZnCo structure. The functional is PBE.

Lattice parameters (Å, degrees): 7.812 7.824 4.391 90.00 90.00 90.00
Space group Cmmm (No. 65)
Unique sites:
K 0.250 0.250 0.000 [4 per cell]
Zn 0.000 0.000 0.500 [2 per cell]
Co 0.000 0.500 0.500 [2 per cell]

Its density of states at the Fermi level is 2.2 states/eV/f.u. The crystal system is orthorhombic. For the total energy, the calculation gives -1.843 eV per atom.